This record from Alexandria describes CePmHgOs after structural relaxation. The functional is PBE.

N(E_F), states/eV/atom: 1.24
Formation energy from the elements, eV per atom: -0.265
Calculated total energy, eV/atom: -5.819
Offset from the most stable computed form, meV/atom: 0

Geometry as extended XYZ:
```
4
Lattice="-1.4396 3.0775 -0.2331 -2.1484 -1.1839 -2.3623 -5.4546 -2.0963 6.0113" Properties=species:S:1:pos:R:3 pbc="T T T"
Ce -3.7797 0.1836 0.8907
Hg -0.3869 -0.1487 0.4263
Os -3.0791 -1.1834 3.3934
Pm -6.0770 -0.6993 3.4225
```

=====

This record from Alexandria describes CePrHgOs after structural relaxation. The functional is PBE.

N(E_F), states/eV/atom: 1.59
Formation energy from the elements, eV per atom: -0.091
Calculated total energy, eV/atom: -5.652

Geometry as extended XYZ:
```
4
Lattice="5.1729 0.0000 0.0000 2.5865 4.4799 0.0000 2.5865 1.4933 4.2237" Properties=species:S:1:pos:R:3 pbc="T T T"
Pr 0.0000 0.0000 0.0000
Os 7.7594 4.4799 3.1678
Ce 5.1729 2.9866 2.1118
Hg 2.5865 1.4933 1.0559
```

=====

This record from Alexandria describes CePuHgOs after structural relaxation. The functional is PBE.

N(E_F), states/eV/atom: 2.37
Formation energy from the elements, eV per atom: -0.014
Calculated total energy, eV/atom: -7.963
Offset from the most stable computed form, meV/atom: 168

Geometry as extended XYZ:
```
4
Lattice="-2.0953 3.7272 2.7267 -4.4770 1.9422 -1.3793 -4.1311 -0.9170 2.7948" Properties=species:S:1:pos:R:3 pbc="T T T"
Hg 0.0000 0.0000 0.0000
Os -5.3517 2.3762 2.0711
Pu -8.0276 3.5643 3.1067
Ce -2.6759 1.1881 1.0356
```

=====

This record from Alexandria describes CePuHgOs after structural relaxation. The functional is PBE.

N(E_F), states/eV/atom: 2.48
Formation energy from the elements, eV per atom: -0.182
Calculated total energy, eV/atom: -8.131
Offset from the most stable computed form, meV/atom: 0

Geometry as extended XYZ:
```
4
Lattice="-1.0364 -2.8569 1.2608 2.2292 -1.6072 -1.8093 5.7150 0.7430 6.3812" Properties=species:S:1:pos:R:3 pbc="T T T"
Hg 0.4238 0.0551 0.4732
Pu 2.6649 -1.9631 2.0354
Ce 5.0501 -1.6530 4.6987
Os 3.2534 0.4230 3.6327
```

=====

This record from Alexandria describes Ce2SnHgOs after structural relaxation. The functional is PBE.

N(E_F), states/eV/atom: 1.95
Formation energy from the elements, eV per atom: -0.327
Calculated total energy, eV/atom: -5.808

Geometry as extended XYZ:
```
10
Lattice="-3.4296 -2.5296 -0.1665 1.5821 -1.6327 -7.7808 3.6163 -5.2208 4.8303" Properties=species:S:1:pos:R:3 pbc="T T T"
Os 3.7702 -6.7418 -2.5421
Os -2.0015 -2.6414 -0.5750
Hg 1.4064 -3.4389 -4.0328
Hg 0.3623 -5.9443 0.9157
Sn -0.6154 -4.4227 -2.0610
Sn 2.3841 -4.9604 -1.0560
Ce 3.0923 -6.1581 2.5521
Ce -1.3236 -3.2251 -5.6691
Ce 0.5370 -2.5705 0.6817
Ce 1.2317 -6.8127 -3.7987
```

=====

This record from Alexandria describes CeTh3HgOs after structural relaxation. The functional is PBE.

N(E_F), states/eV/atom: 1.24
Formation energy from the elements, eV per atom: -0.165
Calculated total energy, eV/atom: -6.786

Geometry as extended XYZ:
```
12
Lattice="-2.8056 2.7476 -2.2892 -5.8716 -2.1593 4.6047 4.5417 7.7520 3.7380" Properties=species:S:1:pos:R:3 pbc="T T T"
Th -1.8196 5.4933 2.0542
Th -2.3160 2.8471 3.9993
Th -6.9938 0.7372 2.6873
Th -4.0934 2.1626 0.8435
Th 2.8582 7.6032 3.3662
Th -0.0422 6.1777 5.2101
Os -4.0546 0.5908 3.4221
Os -0.0810 7.7496 2.6315
Ce -5.6059 3.2419 3.9926
Ce 1.4703 5.0984 2.0609
Hg -3.6806 5.8545 4.7686
Hg -0.4550 2.4859 1.2849
```

=====

This record from Alexandria describes Ce5Tl2HgOs2 after structural relaxation. The functional is PBE.

N(E_F), states/eV/atom: 2.41
Formation energy from the elements, eV per atom: -0.194
Calculated total energy, eV/atom: -5.911

Geometry as extended XYZ:
```
20
Lattice="3.7728 0.0000 0.0000 0.0000 11.9274 0.0000 0.0000 0.0000 11.9274" Properties=species:S:1:pos:R:3 pbc="T T T"
Ce 1.8864 3.4380 6.7704
Ce 1.8864 5.9637 0.0000
Ce 1.8864 5.1570 3.4380
Ce 1.8864 9.4017 11.1207
Ce 1.8864 11.1207 2.5257
Ce 1.8864 6.7704 8.4894
Ce 1.8864 0.0000 5.9637
Ce 1.8864 0.8067 9.4017
Ce 1.8864 2.5257 0.8067
Ce 1.8864 8.4894 5.1570
Os 0.0000 7.5126 10.3785
Os 0.0000 4.4148 1.5489
Os 0.0000 1.5489 7.5126
Os 0.0000 10.3785 4.4148
Tl 0.0000 3.8203 9.7839
Tl 0.0000 8.1071 2.1434
Tl 0.0000 2.1434 3.8203
Tl 0.0000 9.7839 8.1071
Hg 0.0000 0.0000 0.0000
Hg 0.0000 5.9637 5.9637
```

=====

This record from Alexandria describes CeYHgOs after structural relaxation. The functional is PBE.

N(E_F), states/eV/atom: 1.12
Formation energy from the elements, eV per atom: -0.325
Calculated total energy, eV/atom: -6.307
Offset from the most stable computed form, meV/atom: 0

Geometry as extended XYZ:
```
4
Lattice="-0.6669 1.3724 -3.0171 1.0228 -2.8421 -1.5189 -7.6438 -2.9393 0.3525" Properties=species:S:1:pos:R:3 pbc="T T T"
Os -4.3812 -1.6847 0.2020
Ce -2.5833 -1.7966 -2.1407
Y -5.8463 -3.0514 -1.9902
Hg -0.4752 -0.1827 0.0219
```